A plane-wave DFT calculation with PBE was carried out for a relaxed structure of RbSc2V.

```
RbSc2V
1.0
-0.7051 -2.7739 4.4898
-3.8905 1.3450 3.3771
-4.2600 -3.1476 0.5434
Sc V Rb
2 1 1
Direct
0.7500 0.7500 0.7500
0.2500 0.2500 0.2500
0.0000 0.0000 0.0000
0.5000 0.5000 0.5000
```

Summary:
Space group = Fm-3m
DFT formation energy = 1007 meV/atom
DOS(E_F) = 6.38 states/eV/cell
Total magnetization = 4.88 μB per cell
Crystal system = cubic
ΔE to the lowest computed polymorph = 0.000 eV per atom